# 1
DFT (meta-GGA SCAN) results for a PBEsol-optimized structure of Dy12C6I17.

Lattice parameters (Å, degrees): 11.2975 11.2975 18.2838 89.21 89.21 64.17
Closest atoms and distances in Å follow each position.
Fractional coordinates of all 70 atoms:
Dy  0.7058  0.2999  0.5233  4 C 2.50-2.73
Dy  0.4491  0.4703  0.8741  1 C 2.23
Dy  0.0757  0.0181  0.1535  1 C 2.19
Dy  0.1071  0.5777  0.3840  2 C 2.39-2.43
Dy  0.1943  0.6599  0.2121  4 C 2.52-2.68
Dy  0.5297  0.5509  0.6259  1 C 2.23
Dy  0.9819  0.9243  0.3465  1 C 2.19
Dy  0.9243  0.9819  0.8465  1 C 2.19
Dy  0.5509  0.5297  0.1259  1 C 2.23
Dy  0.8057  0.3401  0.7879  4 C 2.52-2.68
Dy  0.4223  0.8929  0.1160  2 C 2.39-2.43
Dy  0.6599  0.1943  0.7121  4 C 2.52-2.68
Dy  0.6406  0.6451  0.9485  1 C 2.18
Dy  0.2999  0.7058  0.0233  4 C 2.50-2.73
Dy  0.3401  0.8057  0.2879  4 C 2.52-2.68
Dy  0.7001  0.2942  0.9767  4 C 2.50-2.73
Dy  0.8929  0.4223  0.6160  2 C 2.39-2.43
Dy  0.4703  0.4491  0.3741  1 C 2.23
Dy  0.2942  0.7001  0.4767  4 C 2.50-2.73
Dy  0.3549  0.3594  0.5515  1 C 2.18
Dy  0.3594  0.3549  0.0515  1 C 2.18
Dy  0.5777  0.1071  0.8840  2 C 2.39-2.43
Dy  0.6451  0.6406  0.4485  1 C 2.18
Dy  0.0181  0.0757  0.6535  1 C 2.19
C  0.5360  0.5334  0.4875  1 C 1.40
C  0.7466  0.1690  0.8456  1 C 1.42
C  0.4666  0.4640  0.0125  1 C 1.40
C  0.3710  0.7127  0.1514  1 C 1.42
C  0.8310  0.2534  0.6544  1 C 1.42
C  0.4640  0.4666  0.5125  1 C 1.40
C  0.1690  0.7466  0.3456  1 C 1.42
C  0.5334  0.5360  0.9875  1 C 1.40
C  0.2873  0.6290  0.3486  1 C 1.42
C  0.6290  0.2873  0.8486  1 C 1.42
C  0.7127  0.3710  0.6514  1 C 1.42
C  0.2534  0.8310  0.1544  1 C 1.42
I  0.3684  0.4277  0.7093  4 Dy 3.02-3.26
I  0.7165  0.1900  0.3621  3 Dy 3.04-3.20
I  0.9659  0.5024  0.7518  2 Dy 2.90-3.15
I  0.1127  0.0979  0.3036  3 Dy 2.99-3.19
I  0.3106  0.2880  0.4000  3 Dy 3.00-3.10
I  0.9066  0.3938  0.4499  3 Dy 3.05-3.17
I  0.0341  0.4976  0.2482  2 Dy 2.90-3.15
I  0.1033  0.6004  0.0609  3 Dy 3.01-3.14
I  0.0000  0.0000  0.5000  2 Dy 2.98
I  0.8100  0.2835  0.1379  3 Dy 3.04-3.20
I  0.6894  0.7120  0.6000  3 Dy 3.00-3.10
I  0.7120  0.6894  0.1000  3 Dy 3.00-3.10
I  0.6062  0.0934  0.0501  3 Dy 3.05-3.17
I  0.0934  0.6062  0.5501  3 Dy 3.05-3.17
I  0.6004  0.1033  0.5609  3 Dy 3.01-3.14
I  0.4976  0.0341  0.7482  2 Dy 2.90-3.15
I  0.8967  0.3996  0.9391  3 Dy 3.01-3.14
I  0.5723  0.6316  0.7907  4 Dy 3.02-3.26
I  0.0979  0.1127  0.8036  3 Dy 2.99-3.19
I  0.2880  0.3106  0.9000  3 Dy 3.00-3.10
I  0.2128  0.1798  0.1012  3 Dy 3.00-3.20
I  0.5024  0.9659  0.2518  2 Dy 2.90-3.15
I  0.3938  0.9066  0.9499  3 Dy 3.05-3.17
I  0.7872  0.8202  0.8988  3 Dy 3.00-3.20
I  0.4277  0.3684  0.2093  4 Dy 3.02-3.26
I  0.6316  0.5723  0.2907  4 Dy 3.02-3.26
I  0.1798  0.2128  0.6012  3 Dy 3.00-3.20
I  0.0000  0.0000  0.0000  2 Dy 2.98
I  0.2835  0.8100  0.6379  3 Dy 3.04-3.20
I  0.8202  0.7872  0.3988  3 Dy 3.00-3.20
I  0.3996  0.8967  0.4391  3 Dy 3.01-3.14
I  0.9021  0.8873  0.1964  3 Dy 2.99-3.19
I  0.8873  0.9021  0.6964  3 Dy 2.99-3.19
I  0.1900  0.7165  0.8621  3 Dy 3.04-3.20

Results
* mass density: 6.6 g/cm³
* SG: C2/c (15)
* total magnetization: 2.00 Bohr magnetons per cell
* formation energy (no corrections): -1255 meV/atom

---

# 2
DFT (meta-GGA SCAN) results for a PBEsol-optimized structure of Dy3InC.

Lattice parameters (Å, degrees): 4.8544 4.8544 4.8544 90.00 90.00 90.00
Closest atoms and distances in Å follow each position.
Fractional coordinates of all 5 atoms:
C  0.5000  0.5000  0.5000  6 Dy 2.43
Dy  0.5000  0.0000  0.5000  2 C 2.43
Dy  0.5000  0.5000  0.0000  2 C 2.43
Dy  0.0000  0.5000  0.5000  2 C 2.43
In  0.0000  0.0000  0.0000  12 Dy 3.43

Results
* mass density: 8.9 g/cm³
* SG: Pm-3m (221)
* total magnetization: 0.00 Bohr magnetons per cell
* raw total energy: -190.15 eV per cell

---

What is the mass density in the first record? 6.6 g/cm³

---

Which of these has the highest mass density? Dy3InC

---

Which value of mass density does entry 2 give? 8.9 g/cm³

---

Among the records above, which one has the lowest mass density? Dy12C6I17